Record 1
Computed, not measured: LiMnO2 after structural relaxation at the GGA-PBEsol level of DFT.

Cell and atoms, written as POSCAR:
```
LiMnO2
1.0
-0.492 1.956 -2.061
-2.155 -1.875 0.400
-2.820 6.020 7.464
Mn O Li
2 4 2
Direct
0.200 0.185 0.502 Mn
0.185 0.200 0.002 Mn
0.000 0.647 0.115 O
0.647 0.000 0.615 O
0.373 0.755 0.889 O
0.755 0.373 0.389 O
0.769 0.589 0.753 Li
0.589 0.769 0.253 Li
```

Summary:
Its density of states at the Fermi level is 0.018 states/eV/atom. As for the uncorrected formation energy: -1760.3 meV per atom. The value obtained for the total energy is -7.32 eV per atom.

Record 2
Computed, not measured: Li2MnO2 after structural relaxation at the GGA-PBEsol level of DFT.

Cell and atoms, written as POSCAR:
```
Li2MnO2
1.0
2.955 0.000 0.000
0.000 5.319 0.000
0.000 0.000 5.319
Mn O Li
2 4 4
Direct
0.000 0.000 0.000 Mn
0.000 0.500 0.500 Mn
0.000 0.314 0.814 O
0.000 0.814 0.686 O
0.000 0.686 0.186 O
0.000 0.186 0.314 O
0.500 0.140 0.640 Li
0.500 0.640 0.860 Li
0.500 0.860 0.360 Li
0.500 0.360 0.140 Li
```

Summary:
The distance to the lowest polymorph of the same formula comes out at 0.184 eV/atom. Its density of states at the Fermi level is 0.273 states/eV/atom. As for the uncorrected formation energy: -1503.0 meV per atom. The value obtained for the total energy is -6.34 eV per atom.

Record 3
Computed, not measured: Li5Mn3O8 after structural relaxation at the GGA-PBEsol level of DFT.

Cell and atoms, written as POSCAR:
```
Li5Mn3O8
1.0
-0.668 -3.191 3.625
4.252 2.343 2.846
-4.918 2.876 -0.583
Li Mn O
5 3 8
Direct
0.000 0.000 0.500 Li
0.000 0.500 0.500 Li
0.493 0.747 0.493 Li
0.507 0.253 0.507 Li
0.000 0.500 0.000 Li
0.000 0.000 0.000 Mn
0.500 0.743 0.000 Mn
0.500 0.257 0.000 Mn
0.252 0.876 0.225 O
0.252 0.348 0.225 O
0.725 0.615 0.231 O
0.746 0.112 0.224 O
0.748 0.124 0.775 O
0.748 0.652 0.775 O
0.254 0.888 0.776 O
0.275 0.385 0.769 O
```

Summary:
The distance to the lowest polymorph of the same formula comes out at 0.002 eV/atom. Its density of states at the Fermi level is 0.184 states/eV/atom. As for the uncorrected formation energy: -1955.8 meV per atom. The value obtained for the total energy is -7.03 eV per atom.

Record 4
Computed, not measured: Li5Mn4O8 after structural relaxation at the GGA-PBEsol level of DFT.

Cell and atoms, written as POSCAR:
```
Li5Mn4O8
1.0
5.561 0.000 0.000
-2.780 5.678 0.209
0.000 -2.822 4.820
Li Mn O
5 4 8
Direct
0.000 0.000 0.500 Li
0.086 0.172 0.182 Li
0.914 0.828 0.818 Li
0.000 0.500 0.500 Li
0.500 0.500 0.500 Li
0.500 0.000 0.000 Mn
0.500 0.000 0.500 Mn
0.000 0.500 0.000 Mn
0.500 0.500 0.000 Mn
0.245 0.490 0.761 O
0.755 0.510 0.239 O
0.259 0.517 0.245 O
0.741 0.483 0.755 O
0.269 0.012 0.254 O
0.743 0.012 0.254 O
0.257 0.988 0.746 O
0.731 0.988 0.746 O
```

Summary:
Its density of states at the Fermi level is 0.242 states/eV/atom. As for the uncorrected formation energy: -1691.6 meV per atom. The value obtained for the total energy is -7.04 eV per atom.

Record 5
Computed, not measured: LiMnO2 after structural relaxation at the GGA-PBEsol level of DFT.

Cell and atoms, written as POSCAR:
```
LiMnO2
1.0
-0.504 -0.166 -2.739
-1.116 -4.473 0.477
-5.417 1.448 0.908
Mn O Li
2 4 2
Direct
0.500 0.500 0.863 Mn
0.000 0.000 0.137 Mn
0.500 0.000 0.362 O
0.000 0.500 0.100 O
0.500 0.000 0.900 O
0.000 0.500 0.638 O
0.500 0.500 0.378 Li
0.000 0.000 0.622 Li
```

Summary:
Its density of states at the Fermi level is 0.134 states/eV/atom. As for the uncorrected formation energy: -1796.9 meV per atom. The value obtained for the total energy is -7.35 eV per atom.

Record 6
Computed, not measured: LiMnO2 after structural relaxation at the GGA-PBEsol level of DFT.

Cell and atoms, written as POSCAR:
```
LiMnO2
1.0
-2.201 0.889 -1.472
-3.081 -1.903 3.457
0.098 4.372 2.494
Mn O Li
2 4 2
Direct
0.500 0.500 0.500 Mn
0.000 0.000 0.000 Mn
0.000 0.285 0.343 O
0.000 0.715 0.657 O
0.500 0.215 0.843 O
0.500 0.785 0.157 O
0.000 0.500 0.000 Li
0.500 0.000 0.500 Li
```

Summary:
Its density of states at the Fermi level is 0.130 states/eV/atom. As for the uncorrected formation energy: -1774.9 meV per atom. The value obtained for the total energy is -7.33 eV per atom.

Total magnetization for every record listed, in sequence, given in Bohr magnetons per cell: 8.010 6.266 7.999 15.029 8.007 7.791.